# 1
# PmAlIn2Se6 | the Alexandria database | PBE-GGA | relaxed
data_PmAlIn2Se6
_chemical_formula_sum 'Pm4 Al4 In8 Se24'
_cell_length_a 13.8688
_cell_length_b 11.9159
_cell_length_c 7.5942
_cell_angle_alpha 90.00
_cell_angle_beta 112.59
_cell_angle_gamma 90.00
_space_group_name_H-M_alt 'C 1 2/c 1'
_space_group_IT_number 15
loop_
_space_group_symop_operation_xyz
'x,y,z'
'-x,-y,-z'
'-x,y,-z+1/2'
'x,-y,z+1/2'
'x+1/2,y+1/2,z'
'-x+1/2,-y+1/2,-z'
'-x+1/2,y+1/2,-z+1/2'
'x+1/2,-y+1/2,z+1/2'
loop_
_atom_site_label
_atom_site_type_symbol
_atom_site_fract_x
_atom_site_fract_y
_atom_site_fract_z
Pm1 Pm 0.0000 0.1545 0.2500
Al1 Al 0.0000 0.1771 0.7500
In1 In 0.1768 0.4390 0.1921
Se1 Se 0.1102 0.0549 0.6463
Se2 Se 0.1306 0.2376 0.0457
Se3 Se 0.1336 0.3824 0.4845
# Total magnetization = 0.00 μB per cell
# Formation energy without anion corrections = -0.86 eV/atom



# 2
# K2TbZrTe4 | the Alexandria database | PBE-GGA | relaxed
data_K2TbZrTe4
_chemical_formula_sum 'K2 Tb1 Zr1 Te4'
_cell_length_a 7.5575
_cell_length_b 4.3191
_cell_length_c 8.6898
_cell_angle_alpha 90.00
_cell_angle_beta 106.51
_cell_angle_gamma 90.00
_space_group_name_H-M_alt 'P 1 2/m 1'
_space_group_IT_number 10
loop_
_space_group_symop_operation_xyz
'x,y,z'
'-x,-y,-z'
'-x,y,-z'
'x,-y,z'
loop_
_atom_site_label
_atom_site_type_symbol
_atom_site_fract_x
_atom_site_fract_y
_atom_site_fract_z
K1 K 0.0000 0.0000 0.0000
K2 K 0.5000 0.5000 0.0000
Tb1 Tb 0.0000 0.5000 0.5000
Zr1 Zr 0.5000 0.0000 0.5000
Te1 Te 0.2474 0.0000 0.7096
Te2 Te 0.2760 0.5000 0.2954
# Total magnetization = 0.00 μB per cell
# Formation energy without anion corrections = -1.16 eV/atom



In eV/atom, the energy values for the records above are, in order, -4.34 -4.65.